Entry from the Alexandria database: a geometry-optimized Sr3VCu structure (PBE).

Values from the calculation:
Calculated total energy, Ry per atom: -0.226
Energy above the most stable polymorph in this dataset, meV/atom: 0
Energy of formation from the pure elements, meV per atom: 579

Cell: 5.8373 5.8373 5.8373 Å, 90.00 90.00 90.00°
Fractional coordinates of all 5 atoms:
Sr 0.0000 0.0000 0.5000
Sr 0.0000 0.5000 0.0000
Sr 0.5000 0.0000 0.0000
V 0.5000 0.5000 0.5000
Cu 0.0000 0.0000 0.0000

Entry from the Alexandria database: a geometry-optimized Sr3CuW structure (PBE).

Values from the calculation:
Calculated total energy, Ry per atom: -0.246
Energy above the most stable polymorph in this dataset, meV/atom: 0
Energy of formation from the pure elements, meV per atom: 1071

Cell: 5.7593 5.7593 5.7593 Å, 90.00 90.00 90.00°
Fractional coordinates of all 5 atoms:
Sr 0.0000 0.0000 0.5000
Sr 0.0000 0.5000 0.0000
Sr 0.5000 0.0000 0.0000
Cu 0.0000 0.0000 0.0000
W 0.5000 0.5000 0.5000

Entry from the Alexandria database: a geometry-optimized SrCuW2 structure (PBE).

Values from the calculation:
Calculated total energy, Ry per atom: -0.501
Energy above the most stable polymorph in this dataset, meV/atom: 165
Energy of formation from the pure elements, meV per atom: 1107

Cell: 10.4721 10.4721 10.4721 Å, 15.65 15.65 15.65°
Fractional coordinates of all 4 atoms:
Sr 0.0000 0.0000 0.0000
Cu 0.5000 0.5000 0.5000
W 0.2376 0.2376 0.2376
W 0.7624 0.7624 0.7624

Entry from the Alexandria database: a geometry-optimized SrCuW structure (PBE).

Values from the calculation:
Calculated total energy, Ry per atom: -0.372
Energy above the most stable polymorph in this dataset, meV/atom: 70
Energy of formation from the pure elements, meV per atom: 1179

Cell: 4.9402 4.9402 2.8743 Å, 90.00 90.00 120.00°
Fractional coordinates of all 3 atoms:
Sr 0.0000 0.0000 0.0000
Cu 0.3333 0.6667 0.5000
W 0.6667 0.3333 0.5000